No. 1
DFT (PBE) results for crystalline NdZnNi2H8 at its relaxed geometry.

abc: 4.335 4.335 6.251
angles: 90.00 90.00 120.00
Atoms (fractional coordinates):
Nd 0.000 0.000 0.000
Zn 0.000 0.000 0.500
Ni 0.333 0.667 0.686
Ni 0.667 0.333 0.314
H 0.038 0.692 0.313
H 0.308 0.345 0.313
H 0.333 0.667 0.939
H 0.345 0.038 0.687
H 0.655 0.962 0.313
H 0.667 0.333 0.061
H 0.692 0.655 0.687
H 0.962 0.308 0.687

Calculated values
The total DFT energy (no corrections) comes out at -44.93 eV per formula unit. Its space group is P-3 (147).



No. 2
DFT (PBE) results for crystalline Nd2Zn2Ni2H at its relaxed geometry.

abc: 5.529 5.529 6.967
angles: 124.36 124.36 45.83
Atoms (fractional coordinates):
Nd 0.048 0.048 0.304
Nd 0.952 0.952 0.696
Zn 0.330 0.330 0.899
Zn 0.670 0.670 0.101
Ni 0.310 0.310 0.255
Ni 0.690 0.690 0.745
H 0.500 0.500 0.500

Calculated values
The total DFT energy (no corrections) comes out at -29.48 eV per formula unit. Its space group is C2/m (12).



No. 3
DFT (PBE) results for crystalline NdNpH at its relaxed geometry.

abc: 6.253 6.253 5.856
angles: 104.33 104.33 31.59
Atoms (fractional coordinates):
Nd 0.100 0.100 0.326
Nd 0.900 0.900 0.674
Np 0.188 0.188 0.908
Np 0.812 0.812 0.092
H 0.424 0.424 0.324
H 0.576 0.576 0.676

Calculated values
The total DFT energy (no corrections) comes out at -20.64 eV per formula unit. Its space group is C2/m (12).



No. 4
DFT (PBE) results for crystalline NdNpH2O6 at its relaxed geometry.

abc: 4.806 5.355 5.912
angles: 92.37 109.48 113.23
Atoms (fractional coordinates):
Nd 0.000 0.000 0.000
Np 0.060 0.487 0.498
H 0.433 0.056 0.680
H 0.594 0.924 0.297
O 0.206 0.266 0.717
O 0.269 0.414 0.297
O 0.513 0.913 0.675
O 0.618 0.071 0.202
O 0.906 0.591 0.728
O 0.909 0.691 0.271

Calculated values
The total DFT energy (no corrections) comes out at -77.05 eV per formula unit. Its space group is P1 (1).



No. 5
DFT (PBE) results for crystalline NdHO at its relaxed geometry.

abc: 7.918 7.918 5.589
angles: 90.00 90.00 90.00
Atoms (fractional coordinates):
Nd 0.000 0.000 0.000
Nd 0.000 0.500 0.000
Nd 0.250 0.250 0.446
Nd 0.250 0.750 0.500
Nd 0.500 0.000 0.000
Nd 0.500 0.500 0.000
Nd 0.750 0.250 0.500
Nd 0.750 0.750 0.554
H 0.021 0.250 0.747
H 0.250 0.021 0.747
H 0.250 0.479 0.747
H 0.479 0.250 0.747
H 0.521 0.750 0.253
H 0.750 0.521 0.253
H 0.750 0.979 0.253
H 0.979 0.750 0.253
O 0.015 0.750 0.756
O 0.250 0.515 0.244
O 0.250 0.985 0.244
O 0.485 0.750 0.756
O 0.515 0.250 0.244
O 0.750 0.015 0.756
O 0.750 0.485 0.756
O 0.985 0.250 0.244

Calculated values
The total DFT energy (no corrections) comes out at -19.53 eV per formula unit. Its space group is P4/nmm (129).



No. 6
DFT (PBE) results for crystalline NdHO at its relaxed geometry.

abc: 3.930 3.930 3.930
angles: 60.00 60.00 60.00
Atoms (fractional coordinates):
Nd 0.000 0.000 0.000
H 0.250 0.250 0.250
O 0.750 0.750 0.750

Calculated values
The total DFT energy (no corrections) comes out at -19.55 eV per formula unit. Its space group is F-43m (216).



No. 7
DFT (PBE) results for crystalline NdHO at its relaxed geometry.

abc: 8.496 8.496 8.496
angles: 101.40 101.40 127.21
Atoms (fractional coordinates):
Nd 0.246 0.228 0.006
Nd 0.260 0.254 0.482
Nd 0.272 0.778 0.018
Nd 0.278 0.760 0.506
Nd 0.722 0.240 0.494
Nd 0.728 0.222 0.982
Nd 0.740 0.746 0.518
Nd 0.754 0.772 0.994
H 0.085 0.593 0.690
H 0.093 0.903 0.507
H 0.105 0.415 0.007
H 0.403 0.395 0.810
H 0.597 0.605 0.190
H 0.895 0.585 0.993
H 0.907 0.097 0.493
H 0.915 0.407 0.310
O 0.090 0.083 0.188
O 0.396 0.902 0.312
O 0.402 0.590 0.506
O 0.417 0.104 0.006
O 0.583 0.896 0.994
O 0.598 0.410 0.494
O 0.604 0.098 0.688
O 0.910 0.917 0.812

Calculated values
The total DFT energy (no corrections) comes out at -18.90 eV per formula unit. Its space group is I4_1/a (88).



No. 8
DFT (PBE) results for crystalline NdHO2 at its relaxed geometry.

abc: 5.117 5.117 5.117
angles: 42.69 42.69 42.69
Atoms (fractional coordinates):
Nd 0.000 0.000 0.000
H 0.500 0.500 0.500
O 0.412 0.412 0.412
O 0.588 0.588 0.588

Calculated values
The total DFT energy (no corrections) comes out at -27.77 eV per formula unit. Its space group is R-3m (166).



- The highest total DFT energy (no corrections) belongs to which entry?
  number 7